{"formula": "Co2IrW", "functional": "GGA-PBEsol", "state": "relaxed", "lattice": [[-1.835, 1.835, 3.704], [1.835, -1.835, 3.704], [1.835, 1.835, -3.704]], "species": ["Co", "Co", "Ir", "W"], "fractional_positions": [[0.000, 0.000, 0.000], [0.750, 0.250, 0.500], [0.250, 0.750, 0.500], [0.500, 0.500, 0.000]], "m_tot_mub_per_cell": 1.61, "space_group": "I-4m2 (119)", "formation_energy_ev_per_atom": -0.14}